Record 1
BeCu2Sb after structural relaxation. Source: Alexandria via LeMat-Bulk, functional PBE.

Cell lengths 3.8181, 3.8181, 3.9352 Å; angles 90.01, 90.01, 90.11 degrees
With the nearest neighbours (Å) after each atom.
Element x y z (fractional)
Be  0.0000  0.5000  0.5000  4 Sb 2.70, 8 Cu 2.74
Sb  0.5000  0.0000  0.5000  4 Be 2.70, 8 Cu 2.74
Cu  0.0000  0.0000  0.0000  4 Cu 2.70, 4 Sb 2.74, 4 Be 2.74
Cu  0.5000  0.5000  0.0000  4 Cu 2.70, 4 Be 2.74, 4 Sb 2.74

## Properties
Space group: Cmmm (65)
Uncorrected energy, eV per cell: -15.064
Energy relative to the lowest polymorph listed for this composition, kJ/mol of formula units: 18
DOS(E_F), states/eV per cell: 1.24
Formation energy from raw total energies, eV per atom: 0.244

---

Record 2
BeCuSb after structural relaxation. Source: Alexandria via LeMat-Bulk, functional PBE.

Cell lengths 4.2452, 7.7436, 3.6385 Å; angles 90.36, 64.66, 102.87 degrees
With the nearest neighbours (Å) after each atom.
Element x y z (fractional)
Cu  0.9451  0.7335  0.2175  5 Be 2.36-2.53, 1 Cu 2.41, 3 Sb 2.61-2.62
Cu  0.0685  0.4424  0.1544  5 Be 2.36-2.52, 1 Cu 2.41, 3 Sb 2.61-2.62
Be  0.7012  0.5381  0.8379  1 Be 2.28, 5 Cu 2.36-2.52
Be  0.3125  0.6376  0.5341  1 Be 2.28, 5 Cu 2.36-2.53
Sb  0.6323  0.8862  0.8759  3 Cu 2.61-2.62, 3 Be 2.71-2.77
Sb  0.3813  0.2896  0.4959  3 Cu 2.61-2.62, 3 Be 2.71-2.77

## Properties
Space group: P-1 (2)
Uncorrected energy, eV per cell: -23.354
DOS(E_F), states/eV per cell: 1.63
Formation energy from raw total energies, eV per atom: 0.089

---

Record 3
Be2CuSb after structural relaxation. Source: Alexandria via LeMat-Bulk, functional PBE.

Cell lengths 3.8934, 2.8383, 5.7016 Å; angles 107.29, 90.00, 90.00 degrees
With the nearest neighbours (Å) after each atom.
Element x y z (fractional)
Sb  0.5000  0.7500  0.7500  4 Be 2.70, 2 Cu 2.78, 2 Sb 2.84
Be  0.0000  0.8881  0.0914  2 Be 2.17-2.30, 2 Cu 2.26
Be  0.0000  0.6119  0.4086  2 Be 2.17-2.30, 2 Cu 2.26
Cu  0.5000  0.2500  0.2500  4 Be 2.26

## Properties
Space group: P2/m (10)
Uncorrected energy, eV per cell: -14.112
DOS(E_F), states/eV per cell: 1.25
Formation energy from raw total energies, eV per atom: 0.390

---

Record 4
BeCuSb after structural relaxation. Source: Alexandria via LeMat-Bulk, functional PBE.

Cell lengths 3.8786, 3.8786, 3.6567 Å; angles 90.00, 90.00, 120.00 degrees
With the nearest neighbours (Å) after each atom.
Element x y z (fractional)
Be  0.0000  0.0000  0.1664  3 Cu 2.24
Sb  0.3333  0.6667  0.6665  6 Cu 2.89, 6 Be 2.89
Cu  0.6667  0.3333  0.1671  3 Be 2.24

## Properties
Space group: P-6m2 (187)
Uncorrected energy, eV per cell: -11.056
DOS(E_F), states/eV per cell: 1.06
Formation energy from raw total energies, eV per atom: 0.296

---

The lowest DOS(E_F) belongs to which entry?
number 4

---

Number 1 is which compound?
BeCu2Sb